1.
! PBE-GGA Pa2TiVN5, optimized geometry; values from VASP
! uncorrected formation energy	-1471.3	meV per atom
! space group	No. 36
! DOS(E_F)	0.6933	states/eV/atom
&SYSTEM
  ibrav = 0, nat = 18, ntyp = 4
/
ATOMIC_SPECIES
Pa 231.04 Pa.upf
Ti 47.87 Ti.upf
V 50.94 V.upf
N 14.01 N.upf
ATOMIC_POSITIONS crystal
Pa 0.8546 0.7091 0.8007
Pa 0.1093 0.2186 0.6802
Pa 0.1454 0.2909 0.3007
Pa 0.8907 0.7814 0.1802
Ti 0.7932 0.5863 0.5048
Ti 0.2068 0.4137 0.0048
V 0.5326 0.0652 0.9645
V 0.4674 0.9348 0.4645
N 0.3693 0.7386 0.0008
N 0.6805 0.3611 0.8725
N 0.4895 0.9791 0.7804
N 0.2818 0.5636 0.6588
N 0.9474 0.8947 0.5611
N 0.6307 0.2614 0.5008
N 0.3195 0.6389 0.3725
N 0.5105 0.0209 0.2804
N 0.7182 0.4364 0.1588
N 0.0526 0.1053 0.0611
CELL_PARAMETERS angstrom
3.2800 0.0000 0.0000
-1.6400 6.4859 0.0000
0.0000 0.0000 9.9666

=====

2.
! PBE-GGA YPa2TiN6, optimized geometry; values from VASP
! uncorrected formation energy	-1355.2	meV per atom
! space group	No. 146
! DOS(E_F)	0.8873	states/eV/atom
&SYSTEM
  ibrav = 0, nat = 10, ntyp = 4
/
ATOMIC_SPECIES
Y 88.91 Y.upf
Pa 231.04 Pa.upf
Ti 47.87 Ti.upf
N 14.01 N.upf
ATOMIC_POSITIONS crystal
Y 0.7981 0.7981 0.6058
Pa 0.5264 0.5263 0.4210
Pa 0.0218 0.0218 0.9346
Ti 0.3104 0.3104 0.0687
N 0.5969 0.2122 0.2389
N 0.2122 0.9520 0.2389
N 0.9520 0.5969 0.2389
N 0.4006 0.6971 0.7562
N 0.6971 0.1461 0.7562
N 0.1461 0.4006 0.7562
CELL_PARAMETERS angstrom
5.7513 0.0000 0.0002
2.8757 4.9807 0.0000
2.8755 1.6603 4.9126

=====

3.
! PBE-GGA Pa2TiZnN6, optimized geometry; values from VASP
! uncorrected formation energy	-935.4	meV per atom
! space group	No. 14
! DOS(E_F)	0.6562	states/eV/atom
&SYSTEM
  ibrav = 0, nat = 20, ntyp = 4
/
ATOMIC_SPECIES
Pa 231.04 Pa.upf
Ti 47.87 Ti.upf
Zn 65.41 Zn.upf
N 14.01 N.upf
ATOMIC_POSITIONS crystal
Pa 0.0175 0.9247 0.2446
Pa 0.5175 0.5753 0.7446
Pa 0.9825 0.0753 0.7554
Pa 0.4825 0.4247 0.2554
Ti 0.5000 0.0000 0.0000
Ti 0.0000 0.5000 0.5000
Zn 0.5000 0.0000 0.5000
Zn 0.0000 0.5000 0.0000
N 0.3307 0.6921 0.0685
N 0.8307 0.8079 0.5685
N 0.6693 0.3079 0.9315
N 0.1693 0.1921 0.4315
N 0.3129 0.6695 0.4425
N 0.8129 0.8305 0.9425
N 0.6871 0.3305 0.5575
N 0.1871 0.1695 0.0575
N 0.8729 0.5640 0.2542
N 0.3729 0.9360 0.7542
N 0.1271 0.4360 0.7458
N 0.6271 0.0640 0.2458
CELL_PARAMETERS angstrom
-3.2147 4.0391 1.7860
-4.5027 -3.6519 0.1544
1.8095 -1.9280 7.1704

=====

4.
! PBE-GGA Pa2TiZnN5, optimized geometry; values from VASP
! uncorrected formation energy	-1200.1	meV per atom
! space group	No. 36
! DOS(E_F)	0.2690	states/eV/atom
&SYSTEM
  ibrav = 0, nat = 18, ntyp = 4
/
ATOMIC_SPECIES
Pa 231.04 Pa.upf
Ti 47.87 Ti.upf
Zn 65.41 Zn.upf
N 14.01 N.upf
ATOMIC_POSITIONS crystal
Pa 0.8636 0.7273 0.7951
Pa 0.1170 0.2341 0.6854
Pa 0.1364 0.2727 0.2951
Pa 0.8830 0.7659 0.1854
Ti 0.7968 0.5935 0.5034
Ti 0.2032 0.4065 0.0034
Zn 0.5264 0.0528 0.9719
Zn 0.4736 0.9472 0.4719
N 0.3566 0.7132 0.0085
N 0.6961 0.3922 0.8601
N 0.4936 0.9872 0.7752
N 0.2850 0.5700 0.6566
N 0.9423 0.8847 0.5678
N 0.6434 0.2868 0.5085
N 0.3039 0.6078 0.3601
N 0.5064 0.0128 0.2752
N 0.7150 0.4300 0.1566
N 0.0577 0.1153 0.0678
CELL_PARAMETERS angstrom
-1.0629 -2.0209 2.3962
6.7631 -0.6747 0.1448
0.6014 7.4316 6.5343

=====

5.
! PBE-GGA ZrPa2TiN5, optimized geometry; values from VASP
! uncorrected formation energy	-1542.5	meV per atom
! space group	No. 36
! DOS(E_F)	0.7794	states/eV/atom
&SYSTEM
  ibrav = 0, nat = 18, ntyp = 4
/
ATOMIC_SPECIES
Zr 91.22 Zr.upf
Pa 231.04 Pa.upf
Ti 47.87 Ti.upf
N 14.01 N.upf
ATOMIC_POSITIONS crystal
Zr 0.7876 0.5752 0.5035
Zr 0.2124 0.4248 0.0035
Pa 0.8577 0.7154 0.7923
Pa 0.1089 0.2178 0.6872
Pa 0.1423 0.2846 0.2923
Pa 0.8911 0.7822 0.1872
Ti 0.5246 0.0492 0.9679
Ti 0.4754 0.9508 0.4679
N 0.3753 0.7506 0.0070
N 0.6766 0.3532 0.8612
N 0.4852 0.9704 0.7794
N 0.2806 0.5611 0.6605
N 0.9499 0.8997 0.5651
N 0.6247 0.2494 0.5070
N 0.3234 0.6468 0.3612
N 0.5148 0.0296 0.2794
N 0.7194 0.4389 0.1605
N 0.0501 0.1003 0.0651
CELL_PARAMETERS angstrom
-3.2551 -0.1264 -0.7616
1.9089 -6.6297 0.2890
-2.3197 -0.2340 9.9529

=====

6.
! PBE-GGA ZrPaTi2N4, optimized geometry; values from VASP
! uncorrected formation energy	-1594.5	meV per atom
! space group	No. 10
! DOS(E_F)	0.5141	states/eV/atom
&SYSTEM
  ibrav = 0, nat = 8, ntyp = 4
/
ATOMIC_SPECIES
Zr 91.22 Zr.upf
Pa 231.04 Pa.upf
Ti 47.87 Ti.upf
N 14.01 N.upf
ATOMIC_POSITIONS crystal
Zr 0.0000 0.5000 0.5000
Pa 0.5000 0.5000 0.0000
Ti 0.0000 0.0000 0.0000
Ti 0.5000 0.0000 0.5000
N 0.0000 0.7791 0.7339
N 0.0000 0.2209 0.2661
N 0.5000 0.7718 0.2464
N 0.5000 0.2282 0.7536
CELL_PARAMETERS angstrom
3.1985 0.0000 0.0000
0.0000 5.5679 -0.1157
0.0000 1.9523 5.2133